one | {
  "formula": "CrSiTe3",
  "functional": "PBE",
  "state": "optimized geometry",
  "lattice": [[-0.385, 5.433, 6.540], [-5.901, 1.435, 5.960], [-0.066, -1.129, 8.435]],
  "species": ["Cr", "Cr", "Te", "Te", "Te", "Te", "Te", "Te", "Si", "Si"],
  "frac_coords": [[0.666, 0.667, 0.667], [0.333, 0.334, 0.334], [0.075, 0.440, 0.714], [0.924, 0.561, 0.286], [0.560, 0.287, 0.925], [0.438, 0.714, 0.076], [0.713, 0.076, 0.439], [0.285, 0.925, 0.561], [0.050, 0.051, 0.051], [0.949, 0.950, 0.950]],
  "m_tot_mub_per_cell": 6.00
}

***

two | {
  "formula": "CrSiTe3",
  "functional": "PBE",
  "state": "optimized geometry",
  "lattice": [[-1.092, -0.629, -4.894], [4.907, -0.663, -1.009], [-0.516, -4.970, 0.754]],
  "species": ["Si", "Te", "Te", "Te", "Cr"],
  "frac_coords": [[0.500, 0.500, 0.500], [0.000, 0.000, 0.500], [0.000, 0.500, 0.000], [0.500, 0.000, 0.000], [0.000, 0.000, 0.000]],
  "m_tot_mub_per_cell": 0.00
}

***

Best to worst by energy: one, two.

***

one | {
  "formula": "Ti3CrSi",
  "functional": "PBE",
  "state": "optimized geometry",
  "lattice": [[4.457, 0.000, 0.000], [0.000, 4.457, 0.000], [0.000, 0.000, 4.457]],
  "species": ["Ti", "Ti", "Ti", "Si", "Cr"],
  "frac_coords": [[0.000, 0.000, 0.500], [0.500, 0.000, 0.000], [0.000, 0.500, 0.000], [0.500, 0.500, 0.500], [0.000, 0.000, 0.000]],
  "m_tot_mub_per_cell": 1.23
}

***

two | {
  "formula": "Ti3CrSi",
  "functional": "PBE",
  "state": "optimized geometry",
  "lattice": [[-4.111, 1.404, 1.347], [-1.781, -3.984, -1.283], [0.783, -1.687, 4.151]],
  "species": ["Ti", "Ti", "Ti", "Cr", "Si"],
  "frac_coords": [[0.500, 0.000, 0.000], [0.000, 0.500, 0.000], [0.000, 0.000, 0.500], [0.500, 0.500, 0.500], [0.000, 0.000, 0.000]],
  "m_tot_mub_per_cell": 0.00
}

***

Best to worst by energy: one, two.